First-principles (GGA-PBE) data for a geometry-optimized KCaMgF6 structure, as listed in Alexandria.

Output
- final energy (Ha/atom) = -0.1777
- space group = Imma, No. 74
- total moment (μB per formula unit) = 1.07

a = 7.4566 Å, b = 7.5237 Å, c = 7.1947 Å
α = 121.52°, β = 121.21°, γ = 90.00°
Fractional positions:
F 0.3785 0.6285 0.7570
F 0.3231 0.0731 0.6462
F 0.3393 0.0755 0.2430
F 0.9036 0.0755 0.2430
F 0.9036 0.6674 0.2430
F 0.0964 0.3326 0.7570
F 0.6607 0.9245 0.7570
F 0.0964 0.9245 0.7570
F 0.3393 0.6674 0.2430
F 0.6607 0.3326 0.7570
F 0.6769 0.9269 0.3538
F 0.6215 0.3715 0.2430
Ca 0.5000 0.5000 0.0000
Ca 0.5000 0.0000 0.0000
Mg 0.0000 0.0000 0.5000
Mg 0.5000 0.0000 0.5000
K 0.8918 0.6418 0.7836
K 0.1082 0.3582 0.2164



First-principles (GGA-PBE) data for a geometry-optimized K2CaMgF6 structure, as listed in Alexandria.

Output
- final energy (Ha/atom) = -0.1856
- space group = P4/mmm, No. 123
- total moment (μB per formula unit) = 0.00

a = 4.3136 Å, b = 4.3136 Å, c = 8.4552 Å
α = 90.00°, β = 90.00°, γ = 90.00°
Fractional positions:
Mg 0.5000 0.5000 0.5000
K 0.0000 0.0000 0.7348
K 0.0000 0.0000 0.2652
F 0.0000 0.5000 0.5000
F 0.5000 0.0000 0.5000
F 0.5000 0.0000 0.0000
F 0.5000 0.5000 0.7300
F 0.5000 0.5000 0.2700
F 0.0000 0.5000 0.0000
Ca 0.5000 0.5000 0.0000